No. 1
First-principles (GGA-PBE) data for a relaxed structure of MgTeCl2, as listed in Alexandria.

Cell: 7.210 7.210 7.210 Å, 154.17 122.28 64.27°
Atoms (fractional coordinates):
Mg1 0.750 0.250 0.500
Te1 0.250 0.750 0.500
Cl1 0.608 0.608 0.000
Cl2 0.892 0.892 0.000

Output
**Excess energy over the best structure of this formula in the dataset**: 101 kJ/mol of formula units
**Energy relative to the elements, uncorrected**: -930 meV per atom
**Raw total energy**: -3.038 eV/atom
**Volume**: 136.99 Å³/cell



No. 2
First-principles (GGA-PBE) data for a relaxed structure of MnReAs2, as listed in Alexandria.

Cell: 4.430 4.430 4.430 Å, 60.00 60.00 60.00°
Atoms (fractional coordinates):
As1 0.000 0.000 0.000
As2 0.250 0.250 0.250
Re1 0.750 0.750 0.750
Mn1 0.500 0.500 0.500

Output
**Excess energy over the best structure of this formula in the dataset**: 186 kJ/mol of formula units
**DFT formation energy**: 0.5373 eV per atom
**Raw total energy**: -7.192 eV/atom
**Volume**: 61.49 Å³/cell